1.
# PdPbAu2 PBE-GGA optimized geometry
data_PdPbAu2
_chemical_formula_sum 'Pd2 Pb2 Au4'
_space_group_name_H-M_alt 'P 1 21/m 1'
_space_group_IT_number 11
_space_group_name_Hall '-P 2yb'
_cell_length_a 4.2630
_cell_length_b 7.9382
_cell_length_c 5.3536
_cell_angle_alpha 90.00
_cell_angle_beta 113.09
_cell_angle_gamma 90.00
loop_
_atom_site_label
_atom_site_type_symbol
_atom_site_fract_x
_atom_site_fract_y
_atom_site_fract_z
Pd1 Pd 0.2484 0.2500 0.0085
Pb1 Pb 0.4460 0.7500 0.3852
Au1 Au 0.1425 0.5635 0.7717
# crystal system	monoclinic
# energy of formation from the pure elements	-0.06	eV/atom
# N(E_F)	0.3714	states/eV per atom
# uncorrected energy	-3.926	eV/atom

---

2.
# PdPbAu3 PBE-GGA optimized geometry
data_PdPbAu3
_chemical_formula_sum 'Pd1 Pb1 Au3'
_space_group_name_H-M_alt 'P m -3 m'
_space_group_IT_number 221
_space_group_name_Hall '-P 4 2 3'
_cell_length_a 5.0628
_cell_length_b 5.0628
_cell_length_c 5.0628
_cell_angle_alpha 90.00
_cell_angle_beta 90.00
_cell_angle_gamma 90.00
loop_
_atom_site_label
_atom_site_type_symbol
_atom_site_fract_x
_atom_site_fract_y
_atom_site_fract_z
Pd1 Pd 0.0000 0.0000 0.0000
Pb1 Pb 0.5000 0.5000 0.5000
Au1 Au 0.0000 0.0000 0.5000
# crystal system	cubic
# energy of formation from the pure elements	0.42	eV/atom
# polymorph energy (0 for the lowest one)	0	meV per atom
# N(E_F)	0.3347	states/eV per atom
# uncorrected energy	-3.327	eV/atom

---

3.
# Pd6PbAu5 PBE-GGA optimized geometry
data_Pd6PbAu5
_chemical_formula_sum 'Pd12 Pb2 Au10'
_space_group_name_H-M_alt 'I m m m'
_space_group_IT_number 71
_space_group_name_Hall '-I 2 2'
_cell_length_a 4.3250
_cell_length_b 7.3498
_cell_length_c 12.9468
_cell_angle_alpha 90.00
_cell_angle_beta 90.00
_cell_angle_gamma 90.00
loop_
_atom_site_label
_atom_site_type_symbol
_atom_site_fract_x
_atom_site_fract_y
_atom_site_fract_z
Pd1 Pd 0.0000 0.2464 0.0000
Pd2 Pd 0.0000 0.2526 0.3346
Pb1 Pb 0.0000 0.5000 0.5000
Au1 Au 0.0000 0.0000 0.1749
Au2 Au 0.0000 0.0000 0.5000
Au3 Au 0.0000 0.5000 0.1651
# crystal system	orthorhombic
# energy of formation from the pure elements	-0.14	eV/atom
# N(E_F)	0.3664	states/eV per atom
# uncorrected energy	-4.415	eV/atom

---

4.
# Pd3Pb3Au PBE-GGA optimized geometry
data_Pd3Pb3Au
_chemical_formula_sum 'Pd12 Pb12 Au4'
_space_group_name_H-M_alt 'P n m a'
_space_group_IT_number 62
_space_group_name_Hall '-P 2ac 2n'
_cell_length_a 13.3193
_cell_length_b 3.6096
_cell_length_c 12.4695
_cell_angle_alpha 90.00
_cell_angle_beta 90.00
_cell_angle_gamma 90.00
loop_
_atom_site_label
_atom_site_type_symbol
_atom_site_fract_x
_atom_site_fract_y
_atom_site_fract_z
Pd1 Pd 0.0429 0.2500 0.1227
Pd2 Pd 0.1396 0.2500 0.5623
Pd3 Pd 0.2018 0.7500 0.3985
Pb1 Pb 0.0225 0.2500 0.3670
Pb2 Pb 0.1479 0.7500 0.9846
Pb3 Pb 0.2415 0.2500 0.2094
Au1 Au 0.0962 0.2500 0.7903
# crystal system	orthorhombic
# energy of formation from the pure elements	-0.14	eV/atom
# polymorph energy (0 for the lowest one)	6	meV per atom
# N(E_F)	0.3695	states/eV per atom
# uncorrected energy	-4.422	eV/atom

---

5.
# Pd2PbAu2 PBE-GGA optimized geometry
data_Pd2PbAu2
_chemical_formula_sum 'Pd4 Pb2 Au4'
_space_group_name_H-M_alt 'P 4/m b m'
_space_group_IT_number 127
_space_group_name_Hall '-P 4 2ab'
_cell_length_a 7.2190
_cell_length_b 7.2190
_cell_length_c 3.7251
_cell_angle_alpha 90.00
_cell_angle_beta 90.00
_cell_angle_gamma 90.00
loop_
_atom_site_label
_atom_site_type_symbol
_atom_site_fract_x
_atom_site_fract_y
_atom_site_fract_z
Pd1 Pd 0.1381 0.3619 0.0000
Pb1 Pb 0.0000 0.0000 0.0000
Au1 Au 0.1560 0.6560 0.5000
# crystal system	tetragonal
# energy of formation from the pure elements	-0.09	eV/atom
# polymorph energy (0 for the lowest one)	47	meV per atom
# N(E_F)	0.2038	states/eV per atom
# uncorrected energy	-4.222	eV/atom

---

6.
# PdPb2Au PBE-GGA optimized geometry
data_PdPb2Au
_chemical_formula_sum 'Pd1 Pb2 Au1'
_space_group_name_H-M_alt 'P -3 m 1'
_space_group_IT_number 164
_space_group_name_Hall '-P 3 2"'
_cell_length_a 4.4237
_cell_length_b 4.4237
_cell_length_c 5.7446
_cell_angle_alpha 90.00
_cell_angle_beta 90.00
_cell_angle_gamma 120.00
loop_
_atom_site_label
_atom_site_type_symbol
_atom_site_fract_x
_atom_site_fract_y
_atom_site_fract_z
Pd1 Pd 0.0000 0.0000 0.0000
Pb1 Pb 0.3333 0.6667 0.2307
Au1 Au 0.0000 0.0000 0.5000
# crystal system	trigonal
# energy of formation from the pure elements	-0.16	eV/atom
# polymorph energy (0 for the lowest one)	0	meV per atom
# N(E_F)	0.5073	states/eV per atom
# uncorrected energy	-4.135	eV/atom